! CaMnV2O8 GGA+U relaxed; values from VASP
&SYSTEM
  ibrav = 0, nat = 12, ntyp = 4
/
ATOMIC_SPECIES
Ca 40.08 Ca.upf
Mn 54.94 Mn.upf
V 50.94 V.upf
O 16.00 O.upf
CELL_PARAMETERS angstrom
-1.906 -3.818 -4.178
3.093 -2.463 4.476
-4.872 2.455 2.430
ATOMIC_POSITIONS crystal
Ca 0.250 0.750 0.500
Mn 0.000 0.000 0.000
V 0.750 0.250 0.500
V 0.500 0.500 0.000
O 0.390 0.086 0.304
O 0.325 0.510 0.185
O 0.325 0.140 0.815
O 0.781 0.086 0.696
O 0.860 0.675 0.185
O 0.914 0.219 0.304
O 0.914 0.610 0.696
O 0.490 0.675 0.815
! spin magnetization: 0.2487 μB per atom
! total DFT energy (no corrections): -7.0913 eV per atom
! D(E_F): 9.15 states/eV per cell